Entry 1:
Below is crystalline SrTc2Br at its relaxed geometry, with properties calculated at the PBE-GGA level.

Calculated values
crystal system = monoclinic
formation energy without anion corrections = 0.086 eV per atom
total moment = 0.000 μB per atom
Fermi-level density of states = 4.1 states/eV/f.u.
energy above the most stable polymorph in this dataset = 15 kJ/mol of formula units
ρ = 6.08 g cm⁻³

Geometry as CIF:
```
data_SrTc2Br
_chemical_formula_sum 'Sr2 Tc4 Br2'
_symmetry_space_group_name_H-M 'C 1 m 1'
_symmetry_Int_Tables_number 8
_cell_length_a 6.773
_cell_length_b 3.739
_cell_length_c 7.971
_cell_angle_alpha 90.00
_cell_angle_beta 100.43
_cell_angle_gamma 90.00
loop_
_symmetry_equiv_pos_as_xyz
'x,y,z'
'x,-y,z'
'x+1/2,y+1/2,z'
'x+1/2,-y+1/2,z'
loop_
_atom_site_label
_atom_site_fract_x
_atom_site_fract_y
_atom_site_fract_z
Sr1 0.000 0.000 0.000
Tc1 0.118 0.500 0.705
Tc2 0.255 0.000 0.582
Br1 0.236 0.500 0.289
```

Entry 2:
Below is crystalline SrTc2Br at its relaxed geometry, with properties calculated at the PBE-GGA level.

Calculated values
crystal system = orthorhombic
formation energy without anion corrections = 1.044 eV per atom
total moment = 0.134 μB per atom
Fermi-level density of states = 4.8 states/eV/f.u.
energy above the most stable polymorph in this dataset = 385 kJ/mol of formula units
ρ = 7.16 g cm⁻³

Geometry as CIF:
```
data_SrTc2Br
_chemical_formula_sum 'Sr2 Tc4 Br2'
_symmetry_space_group_name_H-M 'C m m m'
_symmetry_Int_Tables_number 65
_symmetry_space_group_name_Hall '-C 2 2'
_cell_length_a 5.363
_cell_length_b 10.559
_cell_length_c 2.976
_cell_angle_alpha 90.00
_cell_angle_beta 90.00
_cell_angle_gamma 90.00
loop_
_atom_site_label
_atom_site_fract_x
_atom_site_fract_y
_atom_site_fract_z
Sr1 0.000 0.000 0.000
Tc1 0.250 0.250 0.500
Br1 0.000 0.500 0.000
```

Entry 3:
Below is crystalline SrTc2Br at its relaxed geometry, with properties calculated at the PBE-GGA level.

Calculated values
crystal system = orthorhombic
formation energy without anion corrections = 0.048 eV per atom
total moment = 0.000 μB per atom
Fermi-level density of states = 3.7 states/eV/f.u.
energy above the most stable polymorph in this dataset = 0 kJ/mol of formula units
ρ = 7.00 g cm⁻³

Geometry as CIF:
```
data_SrTc2Br
_chemical_formula_sum 'Sr2 Tc4 Br2'
_symmetry_space_group_name_H-M 'A m m 2'
_symmetry_Int_Tables_number 38
_cell_length_a 3.250
_cell_length_b 3.259
_cell_length_c 16.286
_cell_angle_alpha 90.00
_cell_angle_beta 90.00
_cell_angle_gamma 90.00
loop_
_symmetry_equiv_pos_as_xyz
'x,y,z'
'-x,-y,z'
'-x,y,z'
'x,-y,z'
'x,y+1/2,z+1/2'
'-x,-y+1/2,z+1/2'
'-x,y+1/2,z+1/2'
'x,-y+1/2,z+1/2'
loop_
_atom_site_label
_atom_site_fract_x
_atom_site_fract_y
_atom_site_fract_z
Sr1 0.000 0.000 0.000
Tc1 0.000 0.000 0.782
Tc2 0.500 0.000 0.354
Br1 0.500 0.000 0.633
```

Entry 4:
Below is crystalline SrZn2TcBr at its relaxed geometry, with properties calculated at the PBE-GGA level.

Calculated values
crystal system = tetragonal
formation energy without anion corrections = 0.186 eV per atom
total moment = 0.379 μB per atom
Fermi-level density of states = 4.0 states/eV/f.u.
ρ = 4.50 g cm⁻³

Geometry as CIF:
```
data_SrZn2TcBr
_chemical_formula_sum 'Sr1 Zn2 Tc1 Br1'
_symmetry_space_group_name_H-M 'P 4/m m m'
_symmetry_Int_Tables_number 123
_symmetry_space_group_name_Hall '-P 4 2'
_cell_length_a 4.878
_cell_length_b 4.878
_cell_length_c 6.147
_cell_angle_alpha 90.00
_cell_angle_beta 90.00
_cell_angle_gamma 90.00
loop_
_atom_site_label
_atom_site_fract_x
_atom_site_fract_y
_atom_site_fract_z
Sr1 0.000 0.000 0.000
Zn1 0.000 0.500 0.500
Tc1 0.000 0.000 0.500
Br1 0.500 0.500 0.000
```

Entry 5:
Below is crystalline SrZr2TcBr at its relaxed geometry, with properties calculated at the PBE-GGA level.

Calculated values
crystal system = tetragonal
formation energy without anion corrections = 0.161 eV per atom
total moment = 0.000 μB per atom
Fermi-level density of states = 3.3 states/eV/f.u.
energy above the most stable polymorph in this dataset = 0 kJ/mol of formula units
ρ = 4.56 g cm⁻³

Geometry as CIF:
```
data_SrZr2TcBr
_chemical_formula_sum 'Sr1 Zr2 Tc1 Br1'
_symmetry_space_group_name_H-M 'P 4/m m m'
_symmetry_Int_Tables_number 123
_symmetry_space_group_name_Hall '-P 4 2'
_cell_length_a 4.897
_cell_length_b 4.897
_cell_length_c 6.799
_cell_angle_alpha 90.00
_cell_angle_beta 90.00
_cell_angle_gamma 90.00
loop_
_atom_site_label
_atom_site_fract_x
_atom_site_fract_y
_atom_site_fract_z
Sr1 0.000 0.000 0.000
Zr1 0.000 0.500 0.500
Tc1 0.000 0.000 0.500
Br1 0.500 0.500 0.000
```

Entry 6:
Below is crystalline SrZr2TcBr at its relaxed geometry, with properties calculated at the PBE-GGA level.

Calculated values
crystal system = tetragonal
formation energy without anion corrections = 2.057 eV per atom
total moment = 0.430 μB per atom
Fermi-level density of states = 7.1 states/eV/f.u.
energy above the most stable polymorph in this dataset = 914 kJ/mol of formula units
ρ = 4.77 g cm⁻³

Geometry as CIF:
```
data_SrZr2TcBr
_chemical_formula_sum 'Sr1 Zr2 Tc1 Br1'
_symmetry_space_group_name_H-M 'P 4/m m m'
_symmetry_Int_Tables_number 123
_symmetry_space_group_name_Hall '-P 4 2'
_cell_length_a 5.412
_cell_length_b 5.412
_cell_length_c 5.321
_cell_angle_alpha 90.00
_cell_angle_beta 90.00
_cell_angle_gamma 90.00
loop_
_atom_site_label
_atom_site_fract_x
_atom_site_fract_y
_atom_site_fract_z
Sr1 0.000 0.000 0.000
Zr1 0.000 0.500 0.000
Tc1 0.500 0.500 0.500
Br1 0.000 0.000 0.500
```

Entry 7:
Below is crystalline SrTeBr at its relaxed geometry, with properties calculated at the PBE-GGA level.

Calculated values
crystal system = trigonal
formation energy without anion corrections = -1.260 eV per atom
total moment = 0.000 μB per atom
Fermi-level density of states = 2.0 states/eV/f.u.
energy above the most stable polymorph in this dataset = 106 kJ/mol of formula units
ρ = 3.85 g cm⁻³

Geometry as CIF:
```
data_SrTeBr
_chemical_formula_sum 'Sr1 Te1 Br1'
_symmetry_space_group_name_H-M 'P 3 m 1'
_symmetry_Int_Tables_number 156
_cell_length_a 4.2774
_cell_length_b 4.2774
_cell_length_c 8.0342
_cell_angle_alpha 90.00
_cell_angle_beta 90.00
_cell_angle_gamma 120.00
loop_
_symmetry_equiv_pos_as_xyz
'x,y,z'
'-y,x-y,z'
'-x+y,-x,z'
'-y,-x,z'
'-x+y,y,z'
'x,x-y,z'
loop_
_atom_site_label
_atom_site_fract_x
_atom_site_fract_y
_atom_site_fract_z
Sr1 0.0000 0.0000 0.0000
Te1 0.6667 0.3333 0.2887
Br1 0.3333 0.6667 0.7854
```

Entry 8:
Below is crystalline Sr4TeBr at its relaxed geometry, with properties calculated at the PBE-GGA level.

Calculated values
crystal system = cubic
formation energy without anion corrections = -0.229 eV per atom
total moment = 0.000 μB per atom
Fermi-level density of states = 4.4 states/eV/f.u.
ρ = 3.35 g cm⁻³

Geometry as CIF:
```
data_Sr4TeBr
_chemical_formula_sum 'Sr16 Te4 Br4'
_symmetry_space_group_name_H-M 'F -4 3 m'
_symmetry_Int_Tables_number 216
_symmetry_space_group_name_Hall 'F -4 2 3'
_cell_length_a 10.345
_cell_length_b 10.345
_cell_length_c 10.345
_cell_angle_alpha 90.00
_cell_angle_beta 90.00
_cell_angle_gamma 90.00
loop_
_atom_site_label
_atom_site_fract_x
_atom_site_fract_y
_atom_site_fract_z
Sr1 0.124 0.124 0.124
Te1 0.250 0.250 0.750
Br1 0.000 0.000 0.500
```

Question: Which value of formation energy without anion corrections does entry 7 give?
Answer: -1.260 eV per atom